A relaxed ThUGe2Ir5 crystal, computed with GGA-PBE.

Results
- formation energy from the elements (eV/atom) = -0.455
- M_tot (μB/f.u.) = 0.00
- density (Mg/m³) = 14.0

Geometry as CIF:
```
data_ThUGe2Ir5
_cell_length_a 4.025
_cell_length_b 4.025
_cell_length_c 11.525
_cell_angle_alpha 90.00
_cell_angle_beta 90.00
_cell_angle_gamma 90.00
_symmetry_space_group_name_H-M 'P 4/m m m'
_symmetry_Int_Tables_number 123
_symmetry_space_group_name_Hall '-P 4 2'
loop_
_atom_site_label
_atom_site_fract_x
_atom_site_fract_y
_atom_site_fract_z
Th1 0.000 0.000 0.000
U1 0.000 0.000 0.500
Ge1 0.500 0.500 0.212
Ir1 0.000 0.500 0.336
Ir2 0.500 0.500 0.000
```